(1)
Density functional theory data (GGA-PBE) for crystalline Bi2Te2Au at its relaxed geometry.

* N(E_F): 1.7 states/eV per cell

Lattice parameters (Å, degrees): 6.205 6.205 6.259 60.29 60.29 90.00
Sites, in units of the cell vectors:
Bi  0.690  0.690  0.620
Te  0.750  0.250  0.500
Au  0.000  0.000  0.000
Te  0.250  0.750  0.500
Bi  0.310  0.310  0.380

***

(2)
Density functional theory data (GGA-PBE) for crystalline Bi2Te2Au at its relaxed geometry.

* N(E_F): 9.5 states/eV per cell

Lattice parameters (Å, degrees): 8.095 8.095 4.698 90.00 90.00 90.00
Sites, in units of the cell vectors:
Bi  0.861  0.361  0.500
Bi  0.639  0.861  0.500
Bi  0.361  0.139  0.500
Te  0.681  0.181  0.000
Bi  0.139  0.639  0.500
Au  0.500  0.500  0.000
Au  0.000  0.000  0.000
Te  0.181  0.319  0.000
Te  0.819  0.681  0.000
Te  0.319  0.819  0.000

***

(3)
Density functional theory data (GGA-PBE) for crystalline Bi2Te2Au at its relaxed geometry.

* N(E_F): 4.7 states/eV per cell

Lattice parameters (Å, degrees): 8.389 8.389 4.384 90.00 90.00 90.00
Sites, in units of the cell vectors:
Bi  0.179  0.321  0.000
Te  0.854  0.354  0.500
Te  0.646  0.854  0.500
Bi  0.821  0.679  0.000
Bi  0.321  0.821  0.000
Au  0.500  0.500  0.000
Te  0.354  0.146  0.500
Bi  0.679  0.179  0.000
Te  0.146  0.646  0.500
Au  0.000  0.000  0.000

***

Order of stability, best first: (3), (1), (2)

***

(1)
Density functional theory data (GGA-PBE) for crystalline Bi2TeAu2 at its relaxed geometry.

* N(E_F): 4.2 states/eV per cell

Lattice parameters (Å, degrees): 9.024 9.024 3.276 90.00 90.00 90.00
Sites, in units of the cell vectors:
Au  0.609  0.891  0.500
Bi  0.193  0.307  0.000
Te  0.500  0.500  0.000
Te  0.000  0.000  0.000
Bi  0.807  0.693  0.000
Au  0.891  0.391  0.500
Bi  0.307  0.807  0.000
Au  0.109  0.609  0.500
Bi  0.693  0.193  0.000
Au  0.391  0.109  0.500

***

(2)
Density functional theory data (GGA-PBE) for crystalline Bi2TeAu2 at its relaxed geometry.

* N(E_F): 2.1 states/eV per cell

Lattice parameters (Å, degrees): 3.986 3.986 8.868 77.01 77.01 90.00
Sites, in units of the cell vectors:
Bi  0.387  0.387  0.225
Te  0.000  0.000  0.000
Bi  0.613  0.613  0.775
Au  0.750  0.250  0.500
Au  0.250  0.750  0.500

***

Order of stability, best first: (2), (1)

***

(1)
Density functional theory data (GGA-PBE) for crystalline BiTeAu3 at its relaxed geometry.

* N(E_F): 6.0 states/eV per cell

Lattice parameters (Å, degrees): 5.272 5.272 5.272 90.00 90.00 90.00
Sites, in units of the cell vectors:
Te  0.000  0.000  0.000
Au  0.000  0.500  0.000
Bi  0.500  0.500  0.500
Au  0.500  0.000  0.000
Au  0.000  0.000  0.500

***

(2)
Density functional theory data (GGA-PBE) for crystalline BiTeAu3 at its relaxed geometry.

* N(E_F): 3.4 states/eV per cell

Lattice parameters (Å, degrees): 5.392 5.392 5.392 90.00 90.00 90.00
Sites, in units of the cell vectors:
Bi  0.000  0.000  0.000
Au  0.000  0.000  0.500
Au  0.000  0.500  0.000
Te  0.500  0.500  0.500
Au  0.500  0.000  0.000

***

Order of stability, best first: (1), (2)

***

(1)
Density functional theory data (GGA-PBE) for crystalline BiTeAu2 at its relaxed geometry.

* N(E_F): 1.9 states/eV per cell

Lattice parameters (Å, degrees): 4.191 4.191 7.115 72.87 72.87 60.00
Sites, in units of the cell vectors:
Au  0.253  0.253  0.242
Au  0.747  0.747  0.758
Te  0.000  0.000  0.000
Bi  0.500  0.500  0.500

***

(2)
Density functional theory data (GGA-PBE) for crystalline BiTeAu2 at its relaxed geometry.

* N(E_F): 4.1 states/eV per cell

Lattice parameters (Å, degrees): 5.126 5.126 5.126 60.00 60.00 60.00
Sites, in units of the cell vectors:
Te  0.000  0.000  0.000
Bi  0.500  0.500  0.500
Au  0.250  0.250  0.250
Au  0.750  0.750  0.750

***

(3)
Density functional theory data (GGA-PBE) for crystalline BiTeAu2 at its relaxed geometry.

* N(E_F): 4.4 states/eV per cell

Lattice parameters (Å, degrees): 6.970 6.970 7.089 60.56 60.56 90.00
Sites, in units of the cell vectors:
Te  0.500  0.500  0.000
Te  0.250  0.750  0.500
Bi  0.750  0.250  0.500
Au  0.136  0.625  0.250
Bi  0.000  0.000  0.000
Au  0.875  0.864  0.750
Au  0.614  0.125  0.250
Au  0.375  0.386  0.750

***

Order of stability, best first: (1), (3), (2)

***

(1)
Density functional theory data (GGA-PBE) for crystalline Ti2BiAu2 at its relaxed geometry.

* N(E_F): 13.9 states/eV per cell

Lattice parameters (Å, degrees): 7.918 7.918 3.207 90.00 90.00 90.00
Sites, in units of the cell vectors:
Au  0.129  0.371  0.000
Bi  0.500  0.500  0.000
Au  0.629  0.129  0.000
Ti  0.339  0.161  0.500
Au  0.871  0.629  0.000
Ti  0.661  0.839  0.500
Ti  0.839  0.339  0.500
Bi  0.000  0.000  0.000
Au  0.371  0.871  0.000
Ti  0.161  0.661  0.500

***

(2)
Density functional theory data (GGA-PBE) for crystalline Ti2BiAu2 at its relaxed geometry.

* N(E_F): 6.1 states/eV per cell

Lattice parameters (Å, degrees): 4.167 4.167 6.864 72.33 72.33 90.00
Sites, in units of the cell vectors:
Ti  0.750  0.250  0.500
Au  0.389  0.389  0.222
Ti  0.250  0.750  0.500
Bi  0.000  0.000  0.000
Au  0.611  0.611  0.778

***

Order of stability, best first: (1), (2)

***

(1)
Density functional theory data (GGA-PBE) for crystalline Ti2Bi2Au at its relaxed geometry.

* N(E_F): 11.6 states/eV per cell

Lattice parameters (Å, degrees): 7.903 7.903 3.609 90.00 90.00 90.00
Sites, in units of the cell vectors:
Au  0.500  0.500  0.000
Bi  0.839  0.661  0.000
Ti  0.868  0.368  0.500
Bi  0.661  0.161  0.000
Bi  0.161  0.339  0.000
Au  0.000  0.000  0.000
Ti  0.132  0.632  0.500
Bi  0.339  0.839  0.000
Ti  0.632  0.868  0.500
Ti  0.368  0.132  0.500

***

(2)
Density functional theory data (GGA-PBE) for crystalline Ti2Bi2Au at its relaxed geometry.

* N(E_F): 4.8 states/eV per cell

Lattice parameters (Å, degrees): 4.860 4.860 6.567 68.28 68.28 90.00
Sites, in units of the cell vectors:
Au  0.000  0.000  0.000
Bi  0.368  0.368  0.265
Ti  0.750  0.250  0.500
Ti  0.250  0.750  0.500
Bi  0.632  0.632  0.735

***

(3)
Density functional theory data (GGA-PBE) for crystalline Ti2Bi2Au at its relaxed geometry.

* N(E_F): 10.3 states/eV per cell

Lattice parameters (Å, degrees): 7.435 7.435 3.967 90.00 90.00 90.00
Sites, in units of the cell vectors:
Bi  0.836  0.336  0.500
Ti  0.137  0.363  0.000
Au  0.500  0.500  0.000
Ti  0.863  0.637  0.000
Ti  0.363  0.863  0.000
Bi  0.336  0.164  0.500
Ti  0.637  0.137  0.000
Au  0.000  0.000  0.000
Bi  0.164  0.664  0.500
Bi  0.664  0.836  0.500

***

Order of stability, best first: (3), (1), (2)

***

(1)
Density functional theory data (GGA-PBE) for crystalline Tl2Bi2Au at its relaxed geometry.

* N(E_F): 4.2 states/eV per cell

Lattice parameters (Å, degrees): 7.590 7.590 5.517 90.00 90.00 90.00
Sites, in units of the cell vectors:
Au  0.500  0.500  0.000
Tl  0.165  0.665  0.500
Tl  0.335  0.165  0.500
Bi  0.351  0.851  0.000
Tl  0.665  0.835  0.500
Tl  0.835  0.335  0.500
Bi  0.649  0.149  0.000
Bi  0.851  0.649  0.000
Bi  0.149  0.351  0.000
Au  0.000  0.000  0.000

***

(2)
Density functional theory data (GGA-PBE) for crystalline Tl2Bi2Au at its relaxed geometry.

* N(E_F): 3.4 states/eV per cell

Lattice parameters (Å, degrees): 6.086 6.558 8.740 112.04 110.37 90.00
Sites, in units of the cell vectors:
Tl  0.179  0.857  0.359
Tl  0.679  0.502  0.359
Au  0.250  0.500  0.000
Tl  0.821  0.143  0.641
Bi  0.581  0.920  0.163
Au  0.750  0.500  0.000
Bi  0.919  0.757  0.837
Bi  0.419  0.080  0.837
Tl  0.321  0.498  0.641
Bi  0.081  0.243  0.163

***

(3)
Density functional theory data (GGA-PBE) for crystalline Tl2Bi2Au at its relaxed geometry.

* N(E_F): 7.4 states/eV per cell

Lattice parameters (Å, degrees): 7.556 7.556 5.409 90.00 90.00 90.00
Sites, in units of the cell vectors:
Bi  0.357  0.143  0.500
Tl  0.158  0.342  0.000
Au  0.500  0.500  0.000
Tl  0.842  0.658  0.000
Tl  0.342  0.842  0.000
Au  0.000  0.000  0.000
Bi  0.143  0.643  0.500
Bi  0.643  0.857  0.500
Bi  0.857  0.357  0.500
Tl  0.658  0.158  0.000

***

Order of stability, best first: (2), (1), (3)

***

(1)
Density functional theory data (GGA-PBE) for crystalline TlBi2Au2 at its relaxed geometry.

* N(E_F): 2.1 states/eV per cell

Lattice parameters (Å, degrees): 5.012 5.012 6.798 68.37 68.37 90.00
Sites, in units of the cell vectors:
Tl  0.000  0.000  0.000
Bi  0.250  0.750  0.500
Bi  0.750  0.250  0.500
Au  0.383  0.383  0.235
Au  0.617  0.617  0.765

***

(2)
Density functional theory data (GGA-PBE) for crystalline TlBi2Au2 at its relaxed geometry.

* N(E_F): 7.5 states/eV per cell

Lattice parameters (Å, degrees): 8.942 8.942 3.344 90.00 90.00 90.00
Sites, in units of the cell vectors:
Au  0.838  0.338  0.500
Tl  0.500  0.500  0.000
Au  0.338  0.162  0.500
Bi  0.861  0.639  0.000
Tl  0.000  0.000  0.000
Au  0.162  0.662  0.500
Bi  0.361  0.861  0.000
Bi  0.639  0.139  0.000
Bi  0.139  0.361  0.000
Au  0.662  0.838  0.500

***

(3)
Density functional theory data (GGA-PBE) for crystalline TlBi2Au2 at its relaxed geometry.

* N(E_F): 2.1 states/eV per cell

Lattice parameters (Å, degrees): 4.750 5.171 6.620 109.47 111.03 90.00
Sites, in units of the cell vectors:
Tl  0.000  0.000  0.000
Au  0.781  0.160  0.563
Au  0.219  0.840  0.437
Bi  0.367  0.477  0.735
Bi  0.633  0.523  0.265

***

Order of stability, best first: (3), (1), (2)

***

(1)
Density functional theory data (GGA-PBE) for crystalline Tl3BiAu3 at its relaxed geometry.

* N(E_F): 6.0 states/eV per cell

Lattice parameters (Å, degrees): 7.885 7.885 7.885 90.00 90.00 90.00
Sites, in units of the cell vectors:
Au  0.000  0.500  0.250
Tl  0.250  0.500  0.000
Au  0.250  0.000  0.500
Bi  0.000  0.000  0.000
Au  0.750  0.000  0.500
Tl  0.000  0.250  0.500
Tl  0.000  0.750  0.500
Tl  0.500  0.000  0.750
Bi  0.500  0.500  0.500
Au  0.000  0.500  0.750
Tl  0.500  0.000  0.250
Au  0.500  0.750  0.000
Tl  0.750  0.500  0.000
Au  0.500  0.250  0.000

***

(2)
Density functional theory data (GGA-PBE) for crystalline Tl3BiAu3 at its relaxed geometry.

* N(E_F): 3.8 states/eV per cell

Lattice parameters (Å, degrees): 7.810 7.810 7.810 67.38 67.38 67.38
Sites, in units of the cell vectors:
Au  0.941  0.539  0.306
Bi  0.660  0.660  0.660
Tl  0.350  0.108  0.837
Tl  0.108  0.837  0.350
Tl  0.650  0.892  0.163
Au  0.539  0.306  0.941
Au  0.694  0.059  0.461
Au  0.461  0.694  0.059
Au  0.306  0.941  0.539
Tl  0.892  0.163  0.650
Tl  0.837  0.350  0.108
Au  0.059  0.461  0.694
Bi  0.340  0.340  0.340
Tl  0.163  0.650  0.892

***

Order of stability, best first: (2), (1)